Model P:
Pr2TmO | Alexandria via LeMat-Bulk | PBE | relaxed; spin magnetization = 0.00 μB per cell
1.0
3.276 0.000 0.000
0.000 3.276 0.000
0.000 0.000 9.126
Pr Tm O
2 1 1
Cartesian
0.000 0.000 1.572
0.000 0.000 7.554
1.638 1.638 4.563
1.638 1.638 0.000

---

Model Q:
Pr2TmO | Alexandria via LeMat-Bulk | PBE | relaxed; spin magnetization = 0.00 μB per cell
1.0
3.656 0.000 0.000
-1.828 3.166 0.000
0.000 0.000 27.937
Pr Tm O
6 3 3
Cartesian
0.000 0.000 3.285
0.000 0.000 24.652
0.000 2.111 15.340
0.000 2.111 21.910
1.828 1.055 6.027
1.828 1.055 12.598
0.000 0.000 0.000
0.000 2.111 18.625
1.828 1.055 9.312
0.000 0.000 13.969
0.000 2.111 4.656
1.828 1.055 23.281

---

Sorted by energy, starting with the most stable: model Q, model P.